Entry from Alexandria via LeMat-Bulk: a relaxed Ba3WO crystal (PBE+U).

The space group is Pm-3m (No. 221) and the conventional cell measures 5.575, 5.575 and 5.575 Å, with angles of 90.00, 90.00 and 90.00 degrees. The asymmetric unit holds Ba at (0.000, 0.000, 0.500), W at (0.500, 0.500, 0.500) and O at (0.000, 0.000, 0.000).

The density of states at the Fermi level is 5.49 states/eV/cell. As for the total DFT energy (no corrections): -0.1484 hartree per atom.